This record from the Alexandria database describes a geometry-optimized AcPrCuAg structure. The functional is PBE-GGA.

The structure in POSCAR format:
```
AcPrCuAg
1.0
4.185 0.000 0.000
0.000 4.802 0.000
-2.092 0.000 5.612
Ag Pr Cu Ac
1 1 1 1
Cartesian
2.092 2.401 0.734
2.092 2.401 4.033
0.000 0.000 4.815
0.000 0.000 1.643
```

* calculated total energy: -4.13 eV per atom

This record from the Alexandria database describes a geometry-optimized AcPrCuAg structure. The functional is PBE-GGA.

The structure in POSCAR format:
```
AcPrCuAg
1.0
5.383 0.000 0.000
2.691 4.662 0.000
2.691 1.554 4.395
Pr Ag Cu Ac
1 1 1 1
Cartesian
5.383 3.108 2.198
2.691 1.554 1.099
8.074 4.662 3.296
0.000 0.000 0.000
```

* calculated total energy: -4.10 eV per atom

This record from the Alexandria database describes a geometry-optimized AcCuAgPt structure. The functional is PBE-GGA.

The structure in POSCAR format:
```
AcCuAgPt
1.0
-4.881 0.757 0.874
-3.169 -3.888 0.068
-2.035 -1.502 4.332
Cu Ag Pt Ac
1 1 1 1
Cartesian
-2.521 -1.158 1.319
-5.042 -2.316 2.637
-7.564 -3.474 3.956
0.000 0.000 0.000
```

* calculated total energy: -4.56 eV per atom

calculated total energy of number 2 (AcPrCuAg)? -4.10 eV per atom

What is the calculated total energy in the first record? -4.13 eV per atom

Among the records above, which one has the highest calculated total energy? number 2